Crystalline SbAsPd3 at its relaxed geometry, computed with PBE.

Computed properties:
For the formation energy from raw total energies, the calculation gives -0.338 eV/atom. The total magnetization is 0.00 μB/atom. The calculation puts the electronic total energy at -5.208 eV/atom.

a b c (Å): 6.715 6.931 8.063
angles (deg): 84.61 90.00 90.00
Sites, in units of the cell vectors:
Sb  0.242  0.612  0.309
Sb  0.758  0.388  0.691
Sb  0.258  0.112  0.809
Sb  0.742  0.888  0.191
As  0.739  0.396  0.163
As  0.239  0.104  0.337
As  0.261  0.604  0.837
As  0.761  0.896  0.663
Pd  0.146  0.411  0.608
Pd  0.354  0.911  0.108
Pd  0.507  0.324  0.424
Pd  0.007  0.176  0.076
Pd  0.493  0.676  0.576
Pd  0.854  0.589  0.392
Pd  0.881  0.150  0.420
Pd  0.119  0.850  0.580
Pd  0.646  0.089  0.892
Pd  0.993  0.824  0.924
Pd  0.619  0.650  0.920
Pd  0.381  0.350  0.080

Crystalline AcCuSiPt2 at its relaxed geometry, computed with PBE.

Computed properties:
For the formation energy from raw total energies, the calculation gives -0.795 eV/atom. The total magnetization is 0.00 μB/atom. The calculation puts the electronic total energy at -5.937 eV/atom.

a b c (Å): 4.328 4.328 6.115
angles (deg): 110.72 110.72 90.00
Sites, in units of the cell vectors:
Ac  0.000  0.000  0.000
Cu  0.750  0.250  0.500
Si  0.250  0.750  0.500
Pt  0.632  0.632  0.264
Pt  0.368  0.368  0.736

Crystalline TiTe2S at its relaxed geometry, computed with PBE.

Computed properties:
For the formation energy from raw total energies, the calculation gives 0.152 eV/atom. The total magnetization is 0.00 μB/atom. The calculation puts the electronic total energy at -4.425 eV/atom.

a b c (Å): 6.348 6.348 7.801
angles (deg): 65.99 65.99 90.00
Sites, in units of the cell vectors:
S  0.500  0.500  0.000
S  0.250  0.750  0.500
Te  0.655  0.125  0.250
Te  0.095  0.625  0.250
Te  0.375  0.345  0.750
Te  0.875  0.905  0.750
Ti  0.000  0.000  0.000
Ti  0.750  0.250  0.500

Crystalline CrGaSb2Rh at its relaxed geometry, computed with PBE.

Computed properties:
For the formation energy from raw total energies, the calculation gives 1.273 eV/atom. The total magnetization is 0.01 μB/atom. The calculation puts the electronic total energy at -4.377 eV/atom.

a b c (Å): 5.157 4.520 5.157
angles (deg): 90.00 90.00 90.00
Sites, in units of the cell vectors:
Sb  0.000  0.000  0.500
Sb  0.500  0.000  0.000
Rh  0.000  0.500  0.000
Ga  0.000  0.000  0.000
Cr  0.500  0.500  0.500

Crystalline Er2Be2GaNi5 at its relaxed geometry, computed with PBE.

Computed properties:
The energy of formation is -0.44 eV per atom. The total magnetization is 0.00 μB/atom. The calculation puts the electronic total energy at -5.287 eV/atom.

a b c (Å): 3.314 8.984 8.984
angles (deg): 90.00 90.00 90.00
Sites, in units of the cell vectors:
Er  0.000  0.681  0.181
Er  0.000  0.319  0.819
Er  0.000  0.181  0.319
Er  0.000  0.819  0.681
Be  0.000  0.112  0.612
Be  0.000  0.888  0.388
Be  0.000  0.612  0.888
Be  0.000  0.388  0.112
Ga  0.000  0.000  0.000
Ga  0.000  0.500  0.500
Ni  0.500  0.220  0.064
Ni  0.500  0.780  0.936
Ni  0.500  0.064  0.780
Ni  0.500  0.720  0.436
Ni  0.500  0.936  0.220
Ni  0.500  0.280  0.564
Ni  0.500  0.564  0.720
Ni  0.500  0.436  0.280
Ni  0.500  0.500  0.000
Ni  0.500  0.000  0.500

Crystalline LiSn2PbS4 at its relaxed geometry, computed with PBE.

Computed properties:
For the formation energy from raw total energies, the calculation gives -0.556 eV/atom. The total magnetization is 0.00 μB/atom. The calculation puts the electronic total energy at -4.323 eV/atom.

a b c (Å): 3.998 6.897 13.962
angles (deg): 90.00 90.00 106.85
Sites, in units of the cell vectors:
Li  0.846  0.692  0.750
Li  0.154  0.308  0.250
Sn  0.369  0.738  0.558
Sn  0.631  0.262  0.058
Sn  0.631  0.262  0.442
Sn  0.369  0.738  0.942
Pb  0.114  0.229  0.750
Pb  0.886  0.771  0.250
S  0.272  0.545  0.119
S  0.728  0.455  0.619
S  0.728  0.455  0.881
S  0.272  0.545  0.381
S  0.000  0.000  0.500
S  0.000  0.000  0.000
S  0.444  0.888  0.750
S  0.556  0.112  0.250

Crystalline InPt2Br at its relaxed geometry, computed with PBE.

Computed properties:
For the formation energy from raw total energies, the calculation gives 0.105 eV/atom. The total magnetization is 0.00 μB/atom. The calculation puts the electronic total energy at -4.018 eV/atom.

a b c (Å): 4.440 4.366 4.353
angles (deg): 82.75 90.00 90.00
Sites, in units of the cell vectors:
Br  0.500  0.250  0.250
Pt  0.000  0.978  0.978
Pt  0.000  0.522  0.522
In  0.500  0.750  0.750

Crystalline NbVSi4 at its relaxed geometry, computed with PBE.

Computed properties:
For the formation energy from raw total energies, the calculation gives -0.497 eV/atom. The total magnetization is 0.00 μB/atom. The calculation puts the electronic total energy at -7.311 eV/atom.

a b c (Å): 13.001 4.687 4.706
angles (deg): 60.36 90.00 90.00
Sites, in units of the cell vectors:
Nb  0.082  0.500  0.500
Nb  0.586  0.500  0.500
Nb  0.249  0.000  0.500
V  0.750  0.000  0.500
V  0.419  0.500  0.000
V  0.915  0.500  0.000
Si  0.078  0.835  0.844
Si  0.585  0.836  0.837
Si  0.253  0.324  0.843
Si  0.753  0.321  0.846
Si  0.418  0.843  0.316
Si  0.912  0.844  0.324
Si  0.078  0.165  0.156
Si  0.585  0.164  0.163
Si  0.253  0.676  0.157
Si  0.753  0.679  0.154
Si  0.418  0.157  0.684
Si  0.912  0.156  0.676

Crystalline Y7Er2Tm2 at its relaxed geometry, computed with PBE.

Computed properties:
The energy of formation is 0.13 eV per atom. The total magnetization is 0.00 μB/atom. The calculation puts the electronic total energy at -5.630 eV/atom.

a b c (Å): 3.607 11.659 11.659
angles (deg): 51.03 71.98 71.98
Sites, in units of the cell vectors:
Y  0.322  0.639  0.038
Y  0.678  0.962  0.361
Y  0.678  0.361  0.962
Y  0.322  0.038  0.639
Y  0.000  0.000  0.000
Y  0.831  0.585  0.585
Y  0.169  0.415  0.415
Er  0.500  0.274  0.726
Er  0.500  0.726  0.274
Tm  0.053  0.723  0.723
Tm  0.947  0.277  0.277

Crystalline Y2HfZnSe at its relaxed geometry, computed with PBE.

Computed properties:
For the formation energy from raw total energies, the calculation gives 0.145 eV/atom. The total magnetization is 0.00 μB/atom. The calculation puts the electronic total energy at -5.383 eV/atom.

a b c (Å): 5.333 4.965 5.333
angles (deg): 90.00 90.00 90.00
Sites, in units of the cell vectors:
Y  0.000  0.000  0.500
Y  0.500  0.000  0.000
Zn  0.000  0.000  0.000
Hf  0.000  0.500  0.000
Se  0.500  0.500  0.500

Crystalline SiAu4 at its relaxed geometry, computed with PBE.

Computed properties:
For the formation energy from raw total energies, the calculation gives 0.315 eV/atom. The total magnetization is 0.00 μB/atom. The calculation puts the electronic total energy at -3.391 eV/atom.

a b c (Å): 7.577 7.577 7.577
angles (deg): 151.24 151.24 41.12
Sites, in units of the cell vectors:
Si  0.000  0.000  0.000
Au  0.750  0.250  0.500
Au  0.250  0.750  0.500
Au  0.594  0.594  0.000
Au  0.406  0.406  0.000

Crystalline Ce6MnTl2 at its relaxed geometry, computed with PBE.

Computed properties:
The energy of formation is -0.13 eV per atom. The total magnetization is 0.04 μB/atom. The calculation puts the electronic total energy at -5.627 eV/atom.

a b c (Å): 6.838 6.957 9.868
angles (deg): 90.00 90.00 90.00
Sites, in units of the cell vectors:
Ce  0.000  0.000  0.259
Ce  0.712  0.737  0.500
Ce  0.788  0.763  0.000
Ce  0.712  0.263  0.500
Ce  0.788  0.237  0.000
Ce  0.500  0.500  0.241
Ce  0.000  0.000  0.741
Ce  0.288  0.263  0.500
Ce  0.212  0.237  0.000
Ce  0.288  0.737  0.500
Ce  0.212  0.763  0.000
Ce  0.500  0.500  0.759
Mn  0.500  0.500  0.000
Mn  0.000  0.000  0.500
Tl  0.000  0.500  0.739
Tl  0.500  0.000  0.761
Tl  0.500  0.000  0.239
Tl  0.000  0.500  0.261